A plane-wave DFT calculation with PBE was carried out for a relaxed structure of Sc8SnRu2.

Values from the calculation:
energy of formation from the pure elements	-4.19	eV per formula unit
mass density	4.79	g/cm³
uncorrected energy	-7.036	eV/atom
V	235.7	Å³/cell

Geometry as POSCAR:
```
Sc8SnRu2
1.0
-1.709 3.602 -2.825
3.337 -2.399 -5.073
-6.616 -4.795 2.113
Sc Ru Sn
8 2 1
Direct
0.963 0.016 0.563
0.309 0.361 0.255
0.137 0.533 0.909
0.637 0.270 0.909
0.927 0.437 0.490
0.750 0.940 0.136
0.346 0.856 0.328
0.523 0.713 0.683
0.805 0.619 0.248
0.466 0.279 0.570
0.136 0.974 0.909
```

A plane-wave DFT calculation with PBE was carried out for a relaxed structure of ScSnRu.

Values from the calculation:
energy of formation from the pure elements	-1.32	eV per formula unit
mass density	7.91	g/cm³
uncorrected energy	-6.976	eV/atom
V	222.2	Å³/cell

Geometry as POSCAR:
```
ScSnRu
1.0
4.985 0.000 -0.001
0.000 8.988 0.000
-0.558 0.000 4.960
Sn Sc Ru
4 4 4
Direct
0.759 0.856 0.270
0.241 0.356 0.230
0.241 0.856 0.730
0.759 0.356 0.770
0.749 0.172 0.271
0.749 0.672 0.771
0.251 0.172 0.729
0.251 0.672 0.229
0.729 0.011 0.779
0.729 0.511 0.279
0.271 0.511 0.721
0.271 0.011 0.221
```

A plane-wave DFT calculation with PBE was carried out for a relaxed structure of Sc5SnRu4.

Values from the calculation:
energy of formation from the pure elements	-5.96	eV per formula unit
mass density	7.00	g/cm³
uncorrected energy	-7.873	eV/atom
V	177.4	Å³/cell

Geometry as POSCAR:
```
Sc5SnRu4
1.0
3.262 0.000 0.000
0.000 3.262 0.000
0.000 0.000 16.679
Ru Sc Sn
4 5 1
Direct
0.000 0.000 0.404
0.000 0.000 0.596
0.000 0.000 0.790
0.000 0.000 0.210
0.500 0.500 0.688
0.500 0.500 0.875
0.500 0.500 0.312
0.500 0.500 0.500
0.500 0.500 0.125
0.000 0.000 0.000
```

A plane-wave DFT calculation with PBE was carried out for a relaxed structure of ScSn3Ru4.

Values from the calculation:
energy of formation from the pure elements	-2.90	eV per formula unit
mass density	10.06	g/cm³
uncorrected energy	-7.292	eV/atom
V	132.9	Å³/cell

Geometry as POSCAR:
```
ScSn3Ru4
1.0
4.393 0.000 -1.186
-0.315 4.386 -1.168
-0.426 -0.486 7.153
Sc Ru Sn
1 4 3
Direct
0.500 0.000 0.000
0.628 0.628 0.257
0.872 0.872 0.743
0.372 0.372 0.743
0.128 0.128 0.257
0.747 0.247 0.494
0.253 0.753 0.506
0.000 0.500 0.000
```

A plane-wave DFT calculation with PBE was carried out for a relaxed structure of ScSnRu.

Values from the calculation:
energy of formation from the pure elements	-1.21	eV per formula unit
mass density	7.61	g/cm³
uncorrected energy	-6.940	eV/atom
V	57.8	Å³/cell

Geometry as POSCAR:
```
ScSnRu
1.0
3.210 0.000 0.000
0.000 4.558 0.000
0.000 -2.279 3.948
Sn Sc Ru
1 1 1
Direct
0.167 0.667 0.333
0.668 0.333 0.667
0.165 0.000 0.000
```

A plane-wave DFT calculation with PBE was carried out for a relaxed structure of ScSnRu.

Values from the calculation:
energy of formation from the pure elements	-1.29	eV per formula unit
mass density	7.92	g/cm³
uncorrected energy	-6.965	eV/atom
V	111.0	Å³/cell

Geometry as POSCAR:
```
ScSnRu
1.0
-2.643 -0.844 -1.735
1.920 -2.790 -1.569
-2.617 -5.564 6.693
Sc Sn Ru
2 2 2
Direct
0.500 0.500 0.167
0.000 0.000 0.667
0.000 0.000 0.981
0.500 0.500 0.481
0.000 0.000 0.325
0.500 0.500 0.825
```

> What is the mass density in the first record?

4.79 g/cm³

> Which of these has the lowest mass density?

Sc8SnRu2

What did the sixth record say?
A plane-wave DFT calculation with PBE was carried out for a relaxed structure of ScSnRu.

Values from the calculation:
energy of formation from the pure elements	-1.29	eV per formula unit
mass density	7.92	g/cm³
uncorrected energy	-6.965	eV/atom
V	111.0	Å³/cell

Geometry as POSCAR:
```
ScSnRu
1.0
-2.643 -0.844 -1.735
1.920 -2.790 -1.569
-2.617 -5.564 6.693
Sc Sn Ru
2 2 2
Direct
0.500 0.500 0.167
0.000 0.000 0.667
0.000 0.000 0.981
0.500 0.500 0.481
0.000 0.000 0.325
0.500 0.500 0.825
```